# 1
# SrRu

An optimized crystal structure of SrRu (GGA-PBE, the Alexandria database).

Density (g/cm3): 4.8
E (Ry/atom): -0.37321
ΔH_f (0 K) (eV per formula unit): 0.80

a b c (Å): 4.1804 4.5572 6.8996
angles (deg): 90.00 90.00 90.00
With the nearest neighbours (Å) after each atom.
Fractional coordinates of all 4 atoms:
Sr: 0.2500 0.0000 0.2373  6 Ru 3.15-3.28
Sr: 0.7500 0.0000 0.7627  6 Ru 3.15-3.28
Ru: 0.2500 0.5000 0.9214  2 Ru 2.35
Ru: 0.7500 0.5000 0.0786  2 Ru 2.35


# 2
# RbAgP2

An optimized crystal structure of RbAgP2 (GGA-PBE, the Alexandria database).

Density (g/cm3): 4.0
E (Ry/atom): -0.26350
ΔH_f (0 K) (eV per formula unit): 0.30
E above lowest polymorph (eV/atom): 0.236

a b c (Å): 9.6224 9.6224 9.6224
angles (deg): 150.61 150.61 42.04
With the nearest neighbours (Å) after each atom.
Fractional coordinates of all 8 atoms:
Rb: 0.3750 0.6250 0.7500  4 Ag 3.45, 8 P 3.53
Rb: 0.6250 0.3750 0.2500  4 Ag 3.45, 8 P 3.53
Ag: 0.1250 0.8750 0.2500  4 P 2.56
Ag: 0.8750 0.1250 0.7500  4 P 2.56
P: 0.0000 0.0000 0.0000  2 P 2.44, 2 Ag 2.56
P: 0.0000 0.0000 0.5000  2 P 2.44, 2 Ag 2.56
P: 0.0000 0.5000 0.0000  2 P 2.44, 2 Ag 2.56
P: 0.5000 0.0000 0.5000  2 P 2.44, 2 Ag 2.56